Entry 1:
First-principles (GGA+U) data for a relaxed KVTeO6 crystal, as listed in Alexandria via LeMat-Bulk.

## Properties
Uncorrected energy   -6.113 eV per atom

Lattice parameters (Å, degrees): 5.193 5.193 12.056 90.00 90.00 120.00
Positions (direct):
K 0.000 0.000 0.000
K 0.000 0.000 0.500
V 0.333 0.667 0.250
V 0.667 0.333 0.750
Te 0.333 0.667 0.750
Te 0.667 0.333 0.250
O 0.007 0.396 0.159
O 0.007 0.611 0.341
O 0.389 0.396 0.341
O 0.389 0.993 0.159
O 0.396 0.007 0.659
O 0.396 0.389 0.841
O 0.604 0.611 0.159
O 0.604 0.993 0.341
O 0.611 0.007 0.841
O 0.611 0.604 0.659
O 0.993 0.389 0.659
O 0.993 0.604 0.841

Entry 2:
First-principles (GGA+U) data for a relaxed K3VTe2O9 crystal, as listed in Alexandria via LeMat-Bulk.

## Properties
Uncorrected energy   -5.507 eV per atom

Lattice parameters (Å, degrees): 5.693 5.693 6.991 90.00 90.00 120.00
Positions (direct):
K 0.000 0.000 0.000
K 0.333 0.667 0.667
K 0.667 0.333 0.333
V 0.000 0.000 0.500
Te 0.333 0.667 0.175
Te 0.667 0.333 0.825
O 0.000 0.500 0.000
O 0.162 0.324 0.342
O 0.162 0.838 0.342
O 0.324 0.162 0.658
O 0.500 0.000 0.000
O 0.500 0.500 0.000
O 0.676 0.838 0.342
O 0.838 0.162 0.658
O 0.838 0.676 0.658

Entry 3:
First-principles (GGA+U) data for a relaxed KTeWO6 crystal, as listed in Alexandria via LeMat-Bulk.

## Properties
Uncorrected energy   -6.194 eV per atom

Lattice parameters (Å, degrees): 5.391 5.391 11.940 90.00 90.00 120.00
Positions (direct):
K 0.000 0.000 0.000
K 0.000 0.000 0.500
Te 0.333 0.667 0.250
Te 0.667 0.333 0.750
W 0.333 0.667 0.750
W 0.667 0.333 0.250
O 0.007 0.401 0.156
O 0.007 0.605 0.344
O 0.395 0.401 0.344
O 0.395 0.993 0.156
O 0.401 0.007 0.656
O 0.401 0.395 0.844
O 0.599 0.605 0.156
O 0.599 0.993 0.344
O 0.605 0.007 0.844
O 0.605 0.599 0.656
O 0.993 0.395 0.656
O 0.993 0.599 0.844

Entry 4:
First-principles (GGA+U) data for a relaxed KTe2WO8 crystal, as listed in Alexandria via LeMat-Bulk.

## Properties
Uncorrected energy   -5.554 eV per atom

Lattice parameters (Å, degrees): 6.450 6.450 7.353 112.57 112.57 51.35
Positions (direct):
K 0.000 0.000 0.000
Te 0.208 0.208 0.660
Te 0.792 0.792 0.340
W 0.500 0.500 0.500
O 0.136 0.648 0.301
O 0.194 0.194 0.402
O 0.352 0.864 0.699
O 0.368 0.368 0.861
O 0.632 0.632 0.139
O 0.648 0.136 0.301
O 0.806 0.806 0.598
O 0.864 0.352 0.699

Entry 5:
First-principles (GGA+U) data for a relaxed KTeWO5 crystal, as listed in Alexandria via LeMat-Bulk.

## Properties
Uncorrected energy   -6.133 eV per atom

Lattice parameters (Å, degrees): 6.743 6.743 6.231 106.86 106.86 103.42
Positions (direct):
K 0.082 0.918 0.750
K 0.918 0.082 0.250
Te 0.450 0.550 0.750
Te 0.550 0.450 0.250
W 0.000 0.500 0.000
W 0.500 0.000 0.500
O 0.145 0.532 0.775
O 0.188 0.345 0.115
O 0.216 0.784 0.250
O 0.345 0.188 0.615
O 0.468 0.855 0.725
O 0.532 0.145 0.275
O 0.655 0.812 0.385
O 0.784 0.216 0.750
O 0.812 0.655 0.885
O 0.855 0.468 0.225

What did the third record say?
First-principles (GGA+U) data for a relaxed KTeWO6 crystal, as listed in Alexandria via LeMat-Bulk.

## Properties
Uncorrected energy   -6.194 eV per atom

Lattice parameters (Å, degrees): 5.391 5.391 11.940 90.00 90.00 120.00
Positions (direct):
K 0.000 0.000 0.000
K 0.000 0.000 0.500
Te 0.333 0.667 0.250
Te 0.667 0.333 0.750
W 0.333 0.667 0.750
W 0.667 0.333 0.250
O 0.007 0.401 0.156
O 0.007 0.605 0.344
O 0.395 0.401 0.344
O 0.395 0.993 0.156
O 0.401 0.007 0.656
O 0.401 0.395 0.844
O 0.599 0.605 0.156
O 0.599 0.993 0.344
O 0.605 0.007 0.844
O 0.605 0.599 0.656
O 0.993 0.395 0.656
O 0.993 0.599 0.844

Which of these has the lowest uncorrected energy? KTeWO6

Among the records above, which one has the highest uncorrected energy? K3VTe2O9

What did the first record say?
First-principles (GGA+U) data for a relaxed KVTeO6 crystal, as listed in Alexandria via LeMat-Bulk.

## Properties
Uncorrected energy   -6.113 eV per atom

Lattice parameters (Å, degrees): 5.193 5.193 12.056 90.00 90.00 120.00
Positions (direct):
K 0.000 0.000 0.000
K 0.000 0.000 0.500
V 0.333 0.667 0.250
V 0.667 0.333 0.750
Te 0.333 0.667 0.750
Te 0.667 0.333 0.250
O 0.007 0.396 0.159
O 0.007 0.611 0.341
O 0.389 0.396 0.341
O 0.389 0.993 0.159
O 0.396 0.007 0.659
O 0.396 0.389 0.841
O 0.604 0.611 0.159
O 0.604 0.993 0.341
O 0.611 0.007 0.841
O 0.611 0.604 0.659
O 0.993 0.389 0.659
O 0.993 0.604 0.841